1.
A relaxed structure of BaNaAgMoS4. Source: the Open Quantum Materials Database, functional GGA-PBE.

Results
- Energy: -5.055 eV per atom

Cell lengths 6.429, 6.429, 7.097 Å; angles 123.48, 123.48, 77.36 degrees
Positions (direct):
Ba 0.000 0.000 0.000
Na 0.251 0.749 0.500
Ag 0.749 0.251 0.500
Mo 0.500 0.500 0.000
S 0.141 0.462 0.982
S 0.480 0.159 0.621
S 0.538 0.859 0.018
S 0.841 0.520 0.379

2.
A relaxed structure of BaAg2MoSe3S. Source: the Open Quantum Materials Database, functional GGA-PBE.

Results
- Energy: -4.732 eV per atom

Cell lengths 6.573, 6.609, 6.612 Å; angles 110.22, 116.93, 100.98 degrees
Positions (direct):
Ba 0.000 0.000 0.000
Ag 0.187 0.685 0.509
Ag 0.817 0.321 0.484
Mo 0.515 0.485 0.009
Se 0.141 0.518 0.986
Se 0.476 0.471 0.617
Se 0.861 0.860 0.388
S 0.526 0.138 0.005